The following is a DFT calculation (PBE) of an optimized crystal structure of MgH2Ir3.

Summary:
The total energy comes out at -5.85 eV/atom. The calculation puts the volume at 66.8 Å³/cell. The total magnetization is 0.00 μB/cell. As for the density of states at the Fermi level: 3.12 states/eV/f.u. As for the space group: Pm.

```
MgH2Ir3
1.0
4.835 0.000 0.000
0.000 2.838 0.000
-1.567 0.000 4.865
Mg H Ir
1 2 3
Cartesian
0.000 0.000 0.000
1.830 0.000 0.872
3.827 1.419 0.903
-0.803 1.419 2.638
0.833 1.419 4.771
1.588 0.000 2.630
```